(1)
Compound: Ba3Mg7Pb4
Source: Alexandria via LeMat-Bulk
Functional: PBE
Structure: relaxed

Cell: 5.0335 9.6367 9.9206 Å, 69.98 75.30 74.86°
Positions (direct):
Ba  0.0000  0.5000  0.5000
Ba  0.3023  0.1976  0.1978
Ba  0.6977  0.8024  0.8022
Pb  0.1292  0.0873  0.6543
Pb  0.3458  0.5303  0.7782
Pb  0.8708  0.9127  0.3457
Pb  0.6542  0.4697  0.2218
Mg  0.6714  0.1780  0.4791
Mg  0.3286  0.8220  0.5209
Mg  0.8486  0.3764  0.9264
Mg  0.5049  0.8021  0.1882
Mg  0.4951  0.1979  0.8118
Mg  0.1514  0.6236  0.0736
Mg  0.0000  0.0000  0.0000

Energy ... -2.58 eV per atom
Total magnetization ... 0.00 μB per atom
Fermi-level density of states ... 6.7 states/eV per cell
DFT formation energy ... -0.310 eV/atom
Space group ... No. 12


(2)
Compound: Ce4Si2Br3
Source: Alexandria via LeMat-Bulk
Functional: PBE
Structure: relaxed

Cell: 4.2335 4.2335 17.3806 Å, 90.05 89.95 120.00°
Last column: magnetic moment on the atom in μB.
Positions (direct):
Si  0.3328  0.6672  0.2008  -0.04
Si  0.6672  0.3328  0.7992  -0.04
Br  0.0000  0.0000  0.0000  -0.01
Br  0.3344  0.6656  0.6008  -0.01
Br  0.6656  0.3344  0.3992  -0.01
Ce  0.9992  0.0008  0.2950  0.75
Ce  0.6664  0.3336  0.1092  0.75
Ce  0.0008  0.9992  0.7050  0.75
Ce  0.3336  0.6664  0.8908  0.75

Energy ... -5.53 eV per atom
Total magnetization ... 0.38 μB per atom
Fermi-level density of states ... 22.2 states/eV per cell
Uncorrected formation energy ... -1.126 eV/atom
Space group ... No. 12


(3)
Compound: Cd2RuS
Source: Alexandria via LeMat-Bulk
Functional: PBE
Structure: relaxed

Cell: 7.6204 7.6204 6.0010 Å, 50.59 50.59 90.00°
Last column: magnetic moment on the atom in μB.
Positions (direct):
Cd  0.3750  0.3955  0.7500  -0.01
Cd  0.8750  0.8545  0.7500  -0.01
Cd  0.1455  0.6250  0.2500  -0.01
Cd  0.6045  0.1250  0.2500  -0.01
S  0.2500  0.7500  0.5000  0.02
S  0.5000  0.5000  0.0000  0.02
Ru  0.7500  0.2500  0.5000  0.69
Ru  0.0000  0.0000  0.0000  0.68

Energy ... -3.34 eV per atom
Total magnetization ... 0.18 μB per atom
Fermi-level density of states ... 9.2 states/eV per cell
Uncorrected formation energy ... 0.465 eV/atom
Space group ... No. 122


(4)
Compound: Tm4Al3Pd
Source: Alexandria via LeMat-Bulk
Functional: PBE
Structure: relaxed

Cell: 3.5145 3.5145 14.2636 Å, 90.00 90.00 90.00°
Positions (direct):
Tm  0.0000  0.0000  0.6277
Tm  0.0000  0.0000  0.3723
Tm  0.0000  0.0000  0.8828
Tm  0.0000  0.0000  0.1172
Al  0.5000  0.5000  0.5000
Al  0.5000  0.5000  0.7536
Al  0.5000  0.5000  0.2464
Pd  0.5000  0.5000  0.0000

Energy ... -4.82 eV per atom
Total magnetization ... 0.00 μB per atom
Fermi-level density of states ... 2.9 states/eV per cell
DFT formation energy ... -0.535 eV/atom
Space group ... No. 123


(5)
Compound: Li2H4Ir
Source: Alexandria via LeMat-Bulk
Functional: PBE
Structure: relaxed

Cell: 3.5114 3.5114 5.5107 Å, 71.42 71.42 90.00°
Positions (direct):
Li  0.3616  0.3616  0.2769
Li  0.6384  0.6384  0.7231
H  0.8289  0.8289  0.3422
H  0.1711  0.1711  0.6578
H  0.0000  0.5000  0.0000
H  0.5000  0.0000  0.0000
Ir  0.0000  0.0000  0.0000

Energy ... -4.09 eV per atom
Total magnetization ... 0.00 μB per atom
Fermi-level density of states ... 1.8 states/eV per cell
Space group ... No. 139


(6)
Compound: Pr2PuGa4Pt3
Source: Alexandria via LeMat-Bulk
Functional: PBE
Structure: relaxed

Cell: 4.3064 4.3064 11.5390 Å, 90.00 90.00 90.00°
Last column: magnetic moment on the atom in μB.
Positions (direct):
Ga  0.0000  0.5000  0.3307  0.04
Ga  0.5000  0.5000  0.0000  0.00
Ga  0.5000  0.0000  0.6693  0.04
Ga  0.0000  0.0000  0.0000  0.00
Pu  0.5000  0.5000  0.5000  5.26
Pt  0.0000  0.5000  0.1189  0.02
Pt  0.5000  0.0000  0.8811  0.02
Pt  0.0000  0.0000  0.5000  -0.05
Pr  0.0000  0.5000  0.7735  0.04
Pr  0.5000  0.0000  0.2265  0.04

Energy ... -6.18 eV per atom
Total magnetization ... 0.59 μB per atom
Fermi-level density of states ... 15.0 states/eV per cell
DFT formation energy ... -0.766 eV/atom
Space group ... No. 115


(7)
Compound: Li2GaGe
Source: Alexandria via LeMat-Bulk
Functional: PBE
Structure: relaxed

Cell: 4.4439 4.4439 4.4439 Å, 60.00 60.00 60.00°
Positions (direct):
Ga  0.0000  0.0000  0.0000
Ge  0.5000  0.5000  0.5000
Li  0.7500  0.7500  0.7500
Li  0.2500  0.2500  0.2500

Energy ... -3.12 eV per atom
Total magnetization ... 0.00 μB per atom
Fermi-level density of states ... 1.3 states/eV per cell
DFT formation energy ... -0.254 eV/atom
Space group ... No. 225


(8)
Compound: MnSnIrSe
Source: Alexandria via LeMat-Bulk
Functional: PBE
Structure: relaxed

Cell: 3.6155 3.0033 7.5421 Å, 90.00 90.22 90.00°
Last column: magnetic moment on the atom in μB.
Positions (direct):
Mn  0.8032  0.0000  0.8434  3.66
Ir  0.3014  0.5000  0.6703  0.26
Sn  0.7993  0.5000  0.4081  0.04
Se  0.3064  0.5000  0.0135  -0.07

Energy ... -6.38 eV per atom
Total magnetization ... 1.03 μB per atom
Fermi-level density of states ... 2.4 states/eV per cell
Uncorrected formation energy ... 0.002 eV/atom
Space group ... No. 6


(9)
Compound: RbMn
Source: Alexandria via LeMat-Bulk
Functional: PBE
Structure: relaxed

Cell: 10.7677 17.8607 6.8345 Å, 90.00 90.00 90.00°
Last column: magnetic moment on the atom in μB.
Positions (direct):
Rb  0.1682  0.0000  0.5000  -0.01
Rb  0.5818  0.7500  0.2500  -0.01
Rb  0.9182  0.7500  0.2500  -0.01
Rb  0.4182  0.7500  0.7500  -0.01
Rb  0.6682  0.5000  0.5000  -0.01
Rb  0.3318  0.5000  0.5000  -0.01
Rb  0.0818  0.7500  0.7500  -0.01
Rb  0.5818  0.2500  0.7500  -0.01
Rb  0.8318  0.0000  0.5000  -0.01
Rb  0.3318  0.0000  0.0000  -0.01
Rb  0.4182  0.2500  0.2500  -0.01
Rb  0.6682  0.0000  0.0000  -0.01
Rb  0.0818  0.2500  0.2500  -0.01
Rb  0.9182  0.2500  0.7500  -0.01
Rb  0.8318  0.5000  0.0000  -0.01
Rb  0.1682  0.5000  0.0000  -0.01
Mn  0.7500  0.1766  0.2500  4.04
Mn  0.0000  0.0734  0.0000  4.04
Mn  0.2500  0.8234  0.2500  4.04
Mn  0.5000  0.0734  0.5000  4.04
Mn  0.0000  0.4266  0.5000  4.04
Mn  0.5000  0.4266  0.0000  4.04
Mn  0.7500  0.6766  0.7500  4.04
Mn  0.5000  0.5734  0.0000  4.04
Mn  0.0000  0.9266  0.0000  4.04
Mn  0.5000  0.9266  0.5000  4.04
Mn  0.7500  0.8234  0.7500  4.04
Mn  0.7500  0.3234  0.2500  4.04
Mn  0.2500  0.1766  0.7500  4.04
Mn  0.0000  0.5734  0.5000  4.04
Mn  0.2500  0.6766  0.2500  4.04
Mn  0.2500  0.3234  0.7500  4.04

Energy ... -3.95 eV per atom
Total magnetization ... 2.16 μB per atom
Fermi-level density of states ... 51.7 states/eV per cell
DFT formation energy ... 1.123 eV/atom
Space group ... No. 70


(10)
Compound: Ca2La4H
Source: Alexandria via LeMat-Bulk
Functional: PBE
Structure: relaxed

Cell: 5.2113 5.2113 9.7624 Å, 74.52 74.52 90.00°
Positions (direct):
Ca  0.6523  0.6523  0.6953
Ca  0.3477  0.3477  0.3047
La  0.8558  0.8558  0.2884
La  0.0000  0.5000  0.0000
La  0.5000  0.0000  0.0000
La  0.1442  0.1442  0.7116
H  0.0000  0.0000  0.0000

Energy ... -3.78 eV per atom
Total magnetization ... 0.00 μB per atom
Fermi-level density of states ... 9.6 states/eV per cell
Space group ... No. 139


(11)
Compound: Tb5Sn2H
Source: Alexandria via LeMat-Bulk
Functional: PBE
Structure: relaxed

Cell: 6.9341 6.9342 6.6171 Å, 121.57 121.57 90.08°
Positions (direct):
Sn  0.7524  0.2524  0.5048
Sn  0.2524  0.7524  0.5048
Tb  0.7515  0.2518  0.0033
Tb  0.7565  0.7565  0.5129
Tb  0.2518  0.2518  0.0032
Tb  0.2518  0.7515  0.0033
Tb  0.7514  0.7514  0.0033
H  0.0092  0.0092  0.0184

Energy ... -4.70 eV per atom
Total magnetization ... 0.00 μB per atom
Fermi-level density of states ... 8.8 states/eV per cell
Space group ... No. 107


(12)
Compound: ScHN3
Source: Alexandria via LeMat-Bulk
Functional: PBE
Structure: relaxed

Cell: 3.3514 3.3514 3.3514 Å, 90.00 90.00 90.00°
Positions (direct):
N  0.0000  0.5000  0.0000
N  0.0000  0.0000  0.5000
N  0.5000  0.0000  0.0000
H  0.0000  0.0000  0.0000
Sc  0.5000  0.5000  0.5000

Energy ... -5.91 eV per atom
Total magnetization ... 0.00 μB per atom
Fermi-level density of states ... 1.6 states/eV per cell
Space group ... No. 221


(13)
Compound: Sr2CuPt
Source: Alexandria via LeMat-Bulk
Functional: PBE
Structure: relaxed

Cell: 5.1062 5.1062 5.1062 Å, 60.00 60.00 60.00°
Positions (direct):
Sr  0.2500  0.2500  0.2500
Sr  0.0000  0.0000  0.0000
Cu  0.5000  0.5000  0.5000
Pt  0.7500  0.7500  0.7500

Energy ... -3.46 eV per atom
Total magnetization ... 0.00 μB per atom
Fermi-level density of states ... 3.3 states/eV per cell
DFT formation energy ... -0.085 eV/atom
Space group ... No. 216


(14)
Compound: Li2SmAgPd2
Source: Alexandria via LeMat-Bulk
Functional: PBE
Structure: relaxed

Cell: 4.3667 4.3667 6.5711 Å, 90.00 90.00 120.00°
Positions (direct):
Pd  0.6667  0.3333  0.7513
Pd  0.3333  0.6667  0.2487
Li  0.6667  0.3333  0.3497
Li  0.3333  0.6667  0.6503
Ag  0.0000  0.0000  0.5000
Sm  0.0000  0.0000  0.0000

Energy ... -4.10 eV per atom
Total magnetization ... 0.00 μB per atom
Fermi-level density of states ... 2.5 states/eV per cell
DFT formation energy ... -0.466 eV/atom
Space group ... No. 164


(15)
Compound: CdCoGe2
Source: Alexandria via LeMat-Bulk
Functional: PBE
Structure: relaxed

Cell: 3.0973 3.0973 8.7459 Å, 79.80 79.80 60.00°
Last column: magnetic moment on the atom in μB.
Positions (direct):
Ge  0.1040  0.1040  0.6881  0.00
Ge  0.8960  0.8960  0.3119  0.00
Co  0.5000  0.5000  0.5000  0.24
Cd  0.0000  0.0000  0.0000  -0.01

Energy ... -4.26 eV per atom
Total magnetization ... 0.05 μB per atom
Fermi-level density of states ... 2.8 states/eV per cell
DFT formation energy ... 0.056 eV/atom
Space group ... No. 166


(16)
Compound: CsHgAu2
Source: Alexandria via LeMat-Bulk
Functional: PBE
Structure: relaxed

Cell: 7.4797 7.4710 8.6953 Å, 90.00 90.00 90.00°
Positions (direct):
Cs  0.6401  0.7500  0.9948
Cs  0.8599  0.7500  0.4948
Cs  0.1401  0.2500  0.5052
Cs  0.3599  0.2500  0.0052
Au  0.5620  0.4363  0.6461
Au  0.9380  0.0637  0.1461
Au  0.5620  0.0637  0.6461
Au  0.4380  0.5637  0.3539
Au  0.0620  0.9363  0.8539
Au  0.9380  0.4363  0.1461
Au  0.0620  0.5637  0.8539
Au  0.4380  0.9363  0.3539
Hg  0.8401  0.2500  0.8260
Hg  0.6599  0.2500  0.3260
Hg  0.1599  0.7500  0.1740
Hg  0.3401  0.7500  0.6740

Energy ... -2.11 eV per atom
Total magnetization ... 0.00 μB per atom
Fermi-level density of states ... 2.3 states/eV per cell
DFT formation energy ... -0.181 eV/atom
Space group ... No. 62


(17)
Compound: RbY2SnRu
Source: Alexandria via LeMat-Bulk
Functional: PBE
Structure: relaxed

Cell: 5.3964 4.7188 5.3964 Å, 90.00 90.00 90.00°
Last column: magnetic moment on the atom in μB.
Positions (direct):
Ru  0.0000  0.5000  0.0000  0.48
Y  0.0000  0.0000  0.5000  0.04
Y  0.5000  0.0000  0.0000  0.03
Sn  0.5000  0.5000  0.5000  0.00
Rb  0.0000  0.0000  0.0000  0.01

Energy ... -3.99 eV per atom
Total magnetization ... 0.13 μB per atom
Fermi-level density of states ... 4.1 states/eV per cell
DFT formation energy ... 1.442 eV/atom
Space group ... No. 123


(18)
Compound: AcDyAu2
Source: Alexandria via LeMat-Bulk
Functional: PBE
Structure: relaxed

Cell: 4.8267 5.9264 7.9559 Å, 106.14 90.00 90.00°
Positions (direct):
Au  0.7500  0.1861  0.3225
Au  0.7500  0.1666  0.7616
Au  0.2500  0.8139  0.6775
Au  0.2500  0.8334  0.2384
Dy  0.2500  0.2731  0.5604
Dy  0.7500  0.7269  0.4396
Ac  0.2500  0.2744  0.0692
Ac  0.7500  0.7256  0.9308

Energy ... -4.65 eV per atom
Total magnetization ... 0.00 μB per atom
Fermi-level density of states ... 6.1 states/eV per cell
DFT formation energy ... -0.829 eV/atom
Space group ... No. 11


(19)
Compound: NbTeSeI2
Source: Alexandria via LeMat-Bulk
Functional: PBE
Structure: relaxed

Cell: 5.4481 5.4481 5.4799 Å, 90.00 90.00 90.00°
Positions (direct):
Nb  0.0000  0.0000  0.0000
I  0.0000  0.5000  0.0000
I  0.5000  0.0000  0.0000
Se  0.5000  0.5000  0.5000
Te  0.0000  0.0000  0.5000

Energy ... -3.61 eV per atom
Total magnetization ... 0.00 μB per atom
Fermi-level density of states ... 7.8 states/eV per cell
Uncorrected formation energy ... 0.347 eV/atom
Space group ... No. 123


(20)
Compound: PtSeF
Source: Alexandria via LeMat-Bulk
Functional: PBE
Structure: relaxed

Cell: 3.6267 7.4606 4.3144 Å, 99.85 114.85 90.00°
Positions (direct):
Se  0.1301  0.8362  0.2602
Se  0.8699  0.1638  0.7398
Pt  0.0000  0.5000  0.0000
Pt  0.5000  0.0000  0.0000
F  0.6309  0.4497  0.2618
F  0.3691  0.5503  0.7382

Energy ... -4.39 eV per atom
Total magnetization ... 0.00 μB per atom
Fermi-level density of states ... 3.0 states/eV per cell
Uncorrected formation energy ... -0.593 eV/atom
Space group ... No. 12


(21)
Compound: LiCaYRu
Source: Alexandria via LeMat-Bulk
Functional: PBE
Structure: relaxed

Cell: 4.9682 4.9682 4.9682 Å, 60.00 60.00 60.00°
Positions (direct):
Ru  0.2500  0.2500  0.2500
Y  0.5000  0.5000  0.5000
Li  0.7500  0.7500  0.7500
Ca  0.0000  0.0000  0.0000

Energy ... -4.96 eV per atom
Total magnetization ... 0.00 μB per atom
Fermi-level density of states ... 2.0 states/eV per cell
DFT formation energy ... -0.047 eV/atom
Space group ... No. 216


(22)
Compound: TiCr2Ag2
Source: Alexandria via LeMat-Bulk
Functional: PBE
Structure: relaxed

Cell: 3.7982 3.7982 6.3101 Å, 72.48 72.48 90.00°
Last column: magnetic moment on the atom in μB.
Positions (direct):
Cr  0.4183  0.4183  0.1635  0.05
Cr  0.5817  0.5817  0.8365  0.05
Ag  0.7500  0.2500  0.5000  0.00
Ag  0.2500  0.7500  0.5000  0.00
Ti  0.0000  0.0000  0.0000  0.06

Energy ... -6.02 eV per atom
Total magnetization ... 0.04 μB per atom
Fermi-level density of states ... 7.9 states/eV per cell
DFT formation energy ... 0.553 eV/atom
Space group ... No. 139


(23)
Compound: BaZr2Sc2
Source: Alexandria via LeMat-Bulk
Functional: PBE
Structure: relaxed

Cell: 4.5262 4.5262 7.9248 Å, 73.41 73.41 90.00°
Last column: magnetic moment on the atom in μB.
Positions (direct):
Sc  0.2500  0.7500  0.5000  0.30
Sc  0.7500  0.2500  0.5000  0.30
Ba  0.0000  0.0000  0.0000  0.02
Zr  0.5964  0.5964  0.8071  0.12
Zr  0.4036  0.4036  0.1929  0.12

Energy ... -5.72 eV per atom
Total magnetization ... 0.28 μB per atom
Fermi-level density of states ... 5.5 states/eV per cell
DFT formation energy ... 0.618 eV/atom
Space group ... No. 139


(24)
Compound: BTe2SeN
Source: Alexandria via LeMat-Bulk
Functional: PBE
Structure: relaxed

Cell: 8.0128 8.0128 2.6393 Å, 90.00 90.00 90.00°
Positions (direct):
Te  0.0000  0.5000  0.0000
Te  0.5000  0.0000  0.0000
N  0.0000  0.0000  0.5000
B  0.0000  0.0000  0.0000
Se  0.5000  0.5000  0.5000

Energy ... -4.72 eV per atom
Total magnetization ... 0.00 μB per atom
Fermi-level density of states ... 2.7 states/eV per cell
Uncorrected formation energy ... 0.236 eV/atom
Space group ... No. 123